No. 1
A plane-wave DFT calculation with GGA-PBE was carried out for MgScO2 after structural relaxation.

Calculated values
The uncorrected formation energy comes out at -2527 meV/atom. The mass density comes out at 3.9 g/cm³. For the total magnetization, the calculation gives 0.27 μB/cell. Its calculated volume is 10.79 Å³/atom.

Geometry as CIF:
```
data_MgScO2
_cell_length_a 3.0071
_cell_length_b 3.0071
_cell_length_c 16.5317
_cell_angle_alpha 90.00
_cell_angle_beta 90.00
_cell_angle_gamma 120.00
_symmetry_space_group_name_H-M 'R 3 m'
_symmetry_Int_Tables_number 160
_symmetry_space_group_name_Hall 'R 3 -2"'
loop_
_atom_site_label
_atom_site_fract_x
_atom_site_fract_y
_atom_site_fract_z
Mg1 0.0000 0.0000 0.0000
Sc1 0.0000 0.0000 0.1707
O1 0.0000 0.0000 0.5908
O2 0.0000 0.0000 0.7494
```


No. 2
A plane-wave DFT calculation with GGA-PBE was carried out for Nd2MgCd4 after structural relaxation.

Calculated values
The value obtained for the energy above the most stable polymorph in this dataset is 0 meV/atom. The mass density comes out at 6.5 g/cm³. For the total magnetization, the calculation gives 0.00 μB/cell. The energy of formation from the pure elements is -0.15 eV per atom. Its calculated volume is 27.99 Å³/atom.

Geometry as CIF:
```
data_Nd2MgCd4
_cell_length_a 5.1741
_cell_length_b 5.1741
_cell_length_c 25.3537
_cell_angle_alpha 90.00
_cell_angle_beta 90.00
_cell_angle_gamma 120.00
_symmetry_space_group_name_H-M 'R -3 m'
_symmetry_Int_Tables_number 166
_symmetry_space_group_name_Hall '-R 3 2"'
loop_
_atom_site_label
_atom_site_fract_x
_atom_site_fract_y
_atom_site_fract_z
Nd1 0.0000 0.0000 0.2476
Mg1 0.0000 0.0000 0.5000
Cd1 0.0000 0.0000 0.1225
Cd2 0.0000 0.0000 0.3734
```


No. 3
A plane-wave DFT calculation with GGA-PBE was carried out for TlCuTe2 after structural relaxation.

Calculated values
The uncorrected formation energy comes out at -98 meV/atom. The mass density comes out at 6.7 g/cm³. For the total magnetization, the calculation gives 0.00 μB/cell. Its calculated volume is 32.31 Å³/atom.

Geometry as CIF:
```
data_TlCuTe2
_cell_length_a 4.4601
_cell_length_b 4.4601
_cell_length_c 22.5032
_cell_angle_alpha 90.00
_cell_angle_beta 90.00
_cell_angle_gamma 120.00
_symmetry_space_group_name_H-M 'R 3 m'
_symmetry_Int_Tables_number 160
_symmetry_space_group_name_Hall 'R 3 -2"'
loop_
_atom_site_label
_atom_site_fract_x
_atom_site_fract_y
_atom_site_fract_z
Tl1 0.0000 0.0000 0.0000
Cu1 0.0000 0.0000 0.4841
Te1 0.0000 0.0000 0.1289
Te2 0.0000 0.0000 0.6009
```


No. 4
A plane-wave DFT calculation with GGA-PBE was carried out for Rb3MgAl after structural relaxation.

Calculated values
The value obtained for the energy above the most stable polymorph in this dataset is 0 meV/atom. The mass density comes out at 1.5 g/cm³. For the total magnetization, the calculation gives 0.00 μB/cell. The energy of formation from the pure elements is 0.50 eV per atom. Its calculated volume is 68.89 Å³/atom.

Geometry as CIF:
```
data_Rb3MgAl
_cell_length_a 7.0099
_cell_length_b 7.0099
_cell_length_c 7.0099
_cell_angle_alpha 90.00
_cell_angle_beta 90.00
_cell_angle_gamma 90.00
_symmetry_space_group_name_H-M 'P m -3 m'
_symmetry_Int_Tables_number 221
_symmetry_space_group_name_Hall '-P 4 2 3'
loop_
_atom_site_label
_atom_site_fract_x
_atom_site_fract_y
_atom_site_fract_z
Rb1 0.0000 0.0000 0.5000
Mg1 0.5000 0.5000 0.5000
Al1 0.0000 0.0000 0.0000
```


No. 5
A plane-wave DFT calculation with GGA-PBE was carried out for Rb3Tl3GeO8 after structural relaxation.

Calculated values
The uncorrected formation energy comes out at -1106 meV/atom. The mass density comes out at 6.8 g/cm³. For the total magnetization, the calculation gives 0.00 μB/cell. Its calculated volume is 17.44 Å³/atom.

Geometry as CIF:
```
data_Rb3Tl3GeO8
_cell_length_a 6.7524
_cell_length_b 6.7524
_cell_length_c 19.8731
_cell_angle_alpha 90.00
_cell_angle_beta 90.00
_cell_angle_gamma 120.00
_symmetry_space_group_name_H-M 'R -3 m'
_symmetry_Int_Tables_number 166
_symmetry_space_group_name_Hall '-R 3 2"'
loop_
_atom_site_label
_atom_site_fract_x
_atom_site_fract_y
_atom_site_fract_z
Rb1 0.0000 0.5000 0.0000
Tl1 0.0000 0.5000 0.5000
Ge1 0.0000 0.0000 0.5000
O1 0.0000 0.0000 0.2270
O2 0.0470 0.5235 0.2219
```


No. 6
A plane-wave DFT calculation with GGA-PBE was carried out for Nd12Ho2Er5 after structural relaxation.

Calculated values
The mass density comes out at 7.4 g/cm³. For the total magnetization, the calculation gives 0.00 μB/cell. The energy of formation from the pure elements is 0.13 eV per atom. Its calculated volume is 34.20 Å³/atom.

Geometry as CIF:
```
data_Nd12Ho2Er5
_cell_length_a 15.1368
_cell_length_b 10.6358
_cell_length_c 8.0914
_cell_angle_alpha 90.00
_cell_angle_beta 94.00
_cell_angle_gamma 90.00
_symmetry_space_group_name_H-M 'C 1 2/m 1'
_symmetry_Int_Tables_number 12
_symmetry_space_group_name_Hall '-C 2y'
loop_
_atom_site_label
_atom_site_fract_x
_atom_site_fract_y
_atom_site_fract_z
Nd1 0.0554 0.0000 0.2132
Nd2 0.1064 0.2279 0.8850
Nd3 0.1311 0.5000 0.6066
Nd4 0.1845 0.2756 0.2917
Ho1 0.0000 0.2295 0.5000
Er1 0.0000 0.5000 0.0000
Er2 0.1562 0.0000 0.5971
Er3 0.2417 0.5000 0.9881
```


No. 7
A plane-wave DFT calculation with GGA-PBE was carried out for BeAs2W after structural relaxation.

Calculated values
The mass density comes out at 9.5 g/cm³. For the total magnetization, the calculation gives 0.00 μB/cell. The energy of formation from the pure elements is 0.23 eV per atom. Its calculated volume is 14.99 Å³/atom.

Geometry as CIF:
```
data_BeAs2W
_cell_length_a 3.2510
_cell_length_b 3.2024
_cell_length_c 5.8903
_cell_angle_alpha 90.00
_cell_angle_beta 102.03
_cell_angle_gamma 90.00
_symmetry_space_group_name_H-M 'P 1 2/m 1'
_symmetry_Int_Tables_number 10
_symmetry_space_group_name_Hall '-P 2y'
loop_
_atom_site_label
_atom_site_fract_x
_atom_site_fract_y
_atom_site_fract_z
Be1 0.0000 0.0000 0.0000
As1 0.4062 0.5000 0.2490
W1 0.0000 0.0000 0.5000
```


No. 8
A plane-wave DFT calculation with GGA-PBE was carried out for Ca2GaSi after structural relaxation.

Calculated values
The uncorrected formation energy comes out at -351 meV/atom. The mass density comes out at 3.1 g/cm³. For the total magnetization, the calculation gives 0.00 μB/cell. Its calculated volume is 23.75 Å³/atom.

Geometry as CIF:
```
data_Ca2GaSi
_cell_length_a 3.6417
_cell_length_b 3.6417
_cell_length_c 7.1641
_cell_angle_alpha 90.00
_cell_angle_beta 90.00
_cell_angle_gamma 90.00
_symmetry_space_group_name_H-M 'P 4/m m m'
_symmetry_Int_Tables_number 123
_symmetry_space_group_name_Hall '-P 4 2'
loop_
_atom_site_label
_atom_site_fract_x
_atom_site_fract_y
_atom_site_fract_z
Ca1 0.0000 0.0000 0.2425
Ga1 0.5000 0.5000 0.5000
Si1 0.5000 0.5000 0.0000
```


No. 9
A plane-wave DFT calculation with GGA-PBE was carried out for FeTcCl2 after structural relaxation.

Calculated values
The uncorrected formation energy comes out at 958 meV/atom. The value obtained for the energy above the most stable polymorph in this dataset is 1039 meV/atom. The mass density comes out at 6.8 g/cm³. For the total magnetization, the calculation gives 0.00 μB/cell. Its calculated volume is 13.67 Å³/atom.

Geometry as CIF:
```
data_FeTcCl2
_cell_length_a 6.0244
_cell_length_b 6.0244
_cell_length_c 6.0244
_cell_angle_alpha 90.00
_cell_angle_beta 90.00
_cell_angle_gamma 90.00
_symmetry_space_group_name_H-M 'F m -3 m'
_symmetry_Int_Tables_number 225
_symmetry_space_group_name_Hall '-F 4 2 3'
loop_
_atom_site_label
_atom_site_fract_x
_atom_site_fract_y
_atom_site_fract_z
Fe1 0.0000 0.0000 0.0000
Tc1 0.0000 0.0000 0.5000
Cl1 0.2500 0.2500 0.2500
```


No. 10
A plane-wave DFT calculation with GGA-PBE was carried out for Y2MgMnMo after structural relaxation.

Calculated values
The mass density comes out at 4.6 g/cm³. For the total magnetization, the calculation gives 5.33 μB/cell. The energy of formation from the pure elements is 0.90 eV per atom. Its calculated volume is 25.64 Å³/atom.

Geometry as CIF:
```
data_Y2MgMnMo
_cell_length_a 5.0724
_cell_length_b 5.0724
_cell_length_c 4.9830
_cell_angle_alpha 90.00
_cell_angle_beta 90.00
_cell_angle_gamma 90.00
_symmetry_space_group_name_H-M 'P 4/m m m'
_symmetry_Int_Tables_number 123
_symmetry_space_group_name_Hall '-P 4 2'
loop_
_atom_site_label
_atom_site_fract_x
_atom_site_fract_y
_atom_site_fract_z
Y1 0.0000 0.5000 0.0000
Mg1 0.0000 0.0000 0.5000
Mn1 0.0000 0.0000 0.0000
Mo1 0.5000 0.5000 0.5000
```